VASP calculation (PBE-GGA) on Mo2RuW after structural relaxation.

## Properties
- Calculated formation energy: 0.24 eV/atom

a b c (Å): 4.846 4.846 2.817
angles (deg): 90.00 90.00 109.74
Fractional coordinates of all 4 atoms:
Mo1 0.000 0.000 0.000
Mo2 0.500 0.500 0.000
Ru1 0.500 0.000 0.500
W1 0.000 0.500 0.500



VASP calculation (PBE-GGA) on VZnH after structural relaxation.

a b c (Å): 2.838 2.838 10.738
angles (deg): 90.00 90.00 120.00
Each line ends with the local moment (μB).
Fractional coordinates of all 6 atoms:
H1 0.333 0.667 0.250  0.01
H2 0.667 0.333 0.750  0.01
Zn1 0.000 0.000 0.250  0.00
Zn2 0.000 0.000 0.750  0.00
V1 0.000 0.000 0.000  0.38
V2 0.000 0.000 0.500  0.38



Number 1: N(E_F) 5.22 states/eV/f.u., final energy -42.93 eV/f.u., relative energy among the computed polymorphs 0.132 eV/atom. Number 2: N(E_F) 3.03 states/eV/f.u., final energy -10.84 eV/f.u., relative energy among the computed polymorphs 1.020 eV/atom.